# GdErZr2 | the Alexandria database | GGA-PBE | optimized geometry
# Energy of formation from the pure elements, kJ/mol of atoms: 11.56
# E, eV per atom: -8.8152
# Distance to the lowest polymorph of the same formula, eV/atom: 0.003
# Total moment, μB/cell: 7.03
data_GdErZr2
_symmetry_space_group_name_H-M 'P 1'
_symmetry_Int_Tables_number 1
_cell_length_a 3.313
_cell_length_b 3.313
_cell_length_c 9.646
_cell_angle_alpha 90.00
_cell_angle_beta 90.00
_cell_angle_gamma 90.00
loop_
_symmetry_equiv_pos_as_xyz
'x,y,z'
loop_
_atom_site_label
_atom_site_fract_x
_atom_site_fract_y
_atom_site_fract_z
Gd1 0.500 0.500 0.500
Zr1 0.000 0.000 0.752
Zr2 0.000 0.000 0.248
Er1 0.500 0.500 0.000